# 1
# Ca2ScAu

Crystalline Ca2ScAu at its relaxed geometry (PBE, Alexandria via LeMat-Bulk).

Summary:
Formation enthalpy at 0 K = -50 kJ/mol of formula units
Energy = -3.53 eV/atom
Symmetry = F-43m

Unit cell a=5.2356 b=5.2356 c=5.2356 alpha=60.00 beta=60.00 gamma=60.00
Last column: nearest neighbours and their distance in Å.
Fractional coordinates of all 4 atoms:
1 Ca 0.0000 0.0000 0.0000  4 Sc 3.21, 4 Ca 3.21
2 Ca 0.2500 0.2500 0.2500  4 Ca 3.21, 4 Au 3.21
3 Sc 0.7500 0.7500 0.7500  4 Ca 3.21, 4 Au 3.21
4 Au 0.5000 0.5000 0.5000  4 Sc 3.21, 4 Ca 3.21

=====

# 2
# CaScAu2

Crystalline CaScAu2 at its relaxed geometry (PBE, Alexandria via LeMat-Bulk).

Summary:
Formation enthalpy at 0 K = -212 kJ/mol of formula units
Energy = -4.27 eV/atom
Symmetry = I-4m2

Unit cell a=5.6330 b=5.6330 c=5.6330 alpha=136.04 beta=136.04 gamma=63.93
Last column: nearest neighbours and their distance in Å.
Fractional coordinates of all 4 atoms:
1 Ca 0.0000 0.0000 0.0000  8 Au 2.98-3.19, 4 Sc 3.19
2 Sc 0.2500 0.7500 0.5000  8 Au 2.98-3.19, 4 Ca 3.19
3 Au 0.5000 0.5000 0.0000  4 Ca 2.98, 4 Sc 3.19, 4 Au 3.19
4 Au 0.7500 0.2500 0.5000  4 Sc 2.98, 4 Au 3.19, 4 Ca 3.19

=====

# 3
# Ca3ScAu4

Crystalline Ca3ScAu4 at its relaxed geometry (PBE, Alexandria via LeMat-Bulk).

Summary:
Formation enthalpy at 0 K = -608 kJ/mol of formula units
Energy = -3.97 eV/atom
Symmetry = P4/mmm

Unit cell a=3.5578 b=3.5578 c=14.4700 alpha=90.00 beta=90.00 gamma=90.00
Last column: nearest neighbours and their distance in Å.
Fractional coordinates of all 8 atoms:
1 Ca 0.0000 0.0000 0.0000  8 Au 3.13
2 Ca 0.0000 0.0000 0.2570  8 Au 3.13-3.21
3 Ca 0.0000 0.0000 0.7430  8 Au 3.13-3.21
4 Sc 0.0000 0.0000 0.5000  8 Au 2.94
5 Au 0.5000 0.5000 0.1282  8 Ca 3.13
6 Au 0.5000 0.5000 0.3953  4 Sc 2.94, 1 Au 3.03, 4 Ca 3.21
7 Au 0.5000 0.5000 0.6047  4 Sc 2.94, 1 Au 3.03, 4 Ca 3.21
8 Au 0.5000 0.5000 0.8718  8 Ca 3.13

=====

# 4
# Ca2ScAu

Crystalline Ca2ScAu at its relaxed geometry (PBE, Alexandria via LeMat-Bulk).

Summary:
Formation enthalpy at 0 K = -118 kJ/mol of formula units
Energy = -3.71 eV/atom
Symmetry = Imm2

Unit cell a=6.6120 b=6.6120 c=6.6120 alpha=148.13 beta=130.95 gamma=59.69
Last column: nearest neighbours and their distance in Å.
Fractional coordinates of all 4 atoms:
1 Ca 0.0000 0.0000 0.0000  4 Au 3.30, 2 Sc 3.56, 4 Ca 3.58-3.63
2 Ca 0.7001 0.2001 0.5000  2 Au 3.08
3 Sc 0.3029 0.8029 0.5000  2 Au 2.75
4 Au 0.4833 0.4833 0.0000  2 Sc 2.75, 2 Ca 3.08

=====

# 5
# CaScAu2

Crystalline CaScAu2 at its relaxed geometry (PBE, Alexandria via LeMat-Bulk).

Summary:
Formation enthalpy at 0 K = -252 kJ/mol of formula units
Energy = -4.37 eV/atom
Symmetry = R-3m

Unit cell a=7.2301 b=7.2301 c=7.2301 alpha=32.86 beta=32.86 gamma=32.86
Last column: nearest neighbours and their distance in Å.
Fractional coordinates of all 4 atoms:
1 Ca 0.0000 0.0000 0.0000  6 Au 3.06
2 Sc 0.5000 0.5000 0.5000  6 Au 2.78
3 Au 0.2386 0.2386 0.2386  3 Sc 2.78, 3 Ca 3.06
4 Au 0.7614 0.7614 0.7614  3 Sc 2.78, 3 Ca 3.06

=====

# 6
# Ca2ScAu

Crystalline Ca2ScAu at its relaxed geometry (PBE, Alexandria via LeMat-Bulk).

Summary:
Formation enthalpy at 0 K = -54 kJ/mol of formula units
Energy = -3.54 eV/atom
Symmetry = R-3m

Unit cell a=10.2076 b=10.2076 c=10.2076 alpha=21.08 beta=21.08 gamma=21.08
Last column: nearest neighbours and their distance in Å.
Fractional coordinates of all 4 atoms:
1 Ca 0.2368 0.2368 0.2368  3 Au 3.01
2 Ca 0.7632 0.7632 0.7632  3 Au 3.01
3 Sc 0.0000 0.0000 0.0000  6 Ca 3.61, 6 Sc 3.73
4 Au 0.5000 0.5000 0.5000  6 Ca 3.01

=====

# 7
# CaScAu2

Crystalline CaScAu2 at its relaxed geometry (PBE, Alexandria via LeMat-Bulk).

Summary:
Formation enthalpy at 0 K = -283 kJ/mol of formula units
Energy = -4.46 eV/atom
Symmetry = Amm2

Unit cell a=4.6906 b=5.6762 c=5.6762 alpha=36.63 beta=90.00 gamma=90.00
Last column: nearest neighbours and their distance in Å.
Fractional coordinates of all 4 atoms:
1 Ca 0.0000 0.0000 0.0000  7 Au 2.89-3.07
2 Sc 0.5000 0.7233 0.7233  7 Au 2.96-3.03
3 Au 0.0000 0.2679 0.2679  3 Ca 2.89-3.07, 4 Sc 2.99, 2 Au 3.01
4 Au 0.5000 0.4424 0.4424  3 Sc 2.96-3.03, 2 Au 3.01, 4 Ca 3.01

=====

# 8
# Ca2ScAu

Crystalline Ca2ScAu at its relaxed geometry (PBE, Alexandria via LeMat-Bulk).

Summary:
Formation enthalpy at 0 K = -98 kJ/mol of formula units
Energy = -3.66 eV/atom
Symmetry = P4/mmm

Unit cell a=3.5744 b=3.5744 c=8.8646 alpha=90.00 beta=90.00 gamma=90.00
Last column: nearest neighbours and their distance in Å.
Fractional coordinates of all 4 atoms:
1 Ca 0.0000 0.0000 0.2052  4 Au 3.11
2 Ca 0.0000 0.0000 0.7948  4 Au 3.11
3 Sc 0.5000 0.5000 0.5000  4 Sc 3.57, 8 Ca 3.64
4 Au 0.5000 0.5000 0.0000  8 Ca 3.11

=====

# 9
# CaScAu2

Crystalline CaScAu2 at its relaxed geometry (PBE, Alexandria via LeMat-Bulk).

Summary:
Formation enthalpy at 0 K = -238 kJ/mol of formula units
Energy = -4.34 eV/atom
Symmetry = P4mm

Unit cell a=3.9683 b=3.9683 c=5.9883 alpha=90.00 beta=90.00 gamma=90.00
Last column: nearest neighbours and their distance in Å.
Fractional coordinates of all 4 atoms:
1 Ca 0.0000 0.0000 0.0000  6 Au 2.91-3.02
2 Sc 0.5000 0.5000 0.3910  6 Au 2.86-3.13
3 Au 0.0000 0.0000 0.4962  4 Sc 2.88, 2 Ca 2.97-3.02
4 Au 0.5000 0.5000 0.8682  2 Sc 2.86-3.13, 4 Ca 2.91

=====

# 10
# CaScAu2

Crystalline CaScAu2 at its relaxed geometry (PBE, Alexandria via LeMat-Bulk).

Summary:
Formation enthalpy at 0 K = -162 kJ/mol of formula units
Energy = -4.14 eV/atom
Symmetry = I-42d

Unit cell a=6.4341 b=6.4341 c=6.4341 alpha=107.78 beta=107.78 gamma=112.91
Last column: nearest neighbours and their distance in Å.
Fractional coordinates of all 8 atoms:
1 Ca 0.0000 0.0000 0.0000  4 Au 2.98
2 Ca 0.7500 0.2500 0.5000  4 Au 2.98
3 Sc 0.2500 0.7500 0.5000  4 Au 2.68
4 Sc 0.5000 0.5000 0.0000  4 Au 2.68
5 Au 0.1549 0.6250 0.0299  2 Sc 2.68, 2 Ca 2.98
6 Au 0.3750 0.4049 0.5299  2 Sc 2.68, 2 Ca 2.98
7 Au 0.5951 0.1250 0.9701  2 Sc 2.68, 2 Ca 2.98
8 Au 0.8750 0.8451 0.4701  2 Sc 2.68, 2 Ca 2.98

=====

# 11
# Ca2ScSi3Au12

Crystalline Ca2ScSi3Au12 at its relaxed geometry (PBE, Alexandria via LeMat-Bulk).

Summary:
Energy = -3.83 eV/atom
Symmetry = R-3m
Energy relative to the elements, uncorrected = -3.0 eV per formula unit

Unit cell a=7.8168 b=7.8168 c=7.8168 alpha=69.72 beta=69.72 gamma=69.72
Last column: nearest neighbours and their distance in Å.
Fractional coordinates of all 18 atoms:
1 Ca 0.0969 0.0969 0.0969  6 Au 2.96-3.18
2 Ca 0.9031 0.9031 0.9031  6 Au 2.96-3.18
3 Sc 0.5000 0.5000 0.5000  6 Au 2.79
4 Si 0.0000 0.5000 0.5000  6 Au 2.45-2.48
5 Si 0.5000 0.0000 0.5000  6 Au 2.45-2.48
6 Si 0.5000 0.5000 0.0000  6 Au 2.45-2.48
7 Au 0.1179 0.6496 0.6496  1 Si 2.45
8 Au 0.1951 0.1951 0.6497  2 Si 2.48
9 Au 0.1951 0.6497 0.1951  2 Si 2.48
10 Au 0.3504 0.3504 0.8821  1 Si 2.45
11 Au 0.3503 0.8049 0.8049  2 Si 2.48
12 Au 0.3504 0.8821 0.3504  1 Si 2.45
13 Au 0.6496 0.1179 0.6496  1 Si 2.45
14 Au 0.6497 0.1951 0.1951  2 Si 2.48
15 Au 0.6496 0.6496 0.1179  1 Si 2.45
16 Au 0.8049 0.3503 0.8049  2 Si 2.48
17 Au 0.8049 0.8049 0.3503  2 Si 2.48
18 Au 0.8821 0.3504 0.3504  1 Si 2.45

=====

# 12
# CaScSnAu

Crystalline CaScSnAu at its relaxed geometry (PBE, Alexandria via LeMat-Bulk).

Summary:
Formation enthalpy at 0 K = -256 kJ/mol of formula units
Energy = -4.57 eV/atom
Symmetry = F-43m

Unit cell a=5.1044 b=5.1044 c=5.1044 alpha=60.00 beta=60.00 gamma=60.00
Last column: nearest neighbours and their distance in Å.
Fractional coordinates of all 4 atoms:
1 Ca 0.0000 0.0000 0.0000  4 Sn 3.13, 4 Au 3.13
2 Sc 0.5000 0.5000 0.5000  4 Sn 3.13, 4 Au 3.13
3 Sn 0.7500 0.7500 0.7500  4 Ca 3.13, 4 Sc 3.13
4 Au 0.2500 0.2500 0.2500  4 Ca 3.13, 4 Sc 3.13

=====

# 13
# CaScSnAu2

Crystalline CaScSnAu2 at its relaxed geometry (PBE, Alexandria via LeMat-Bulk).

Summary:
Formation enthalpy at 0 K = 169 kJ/mol of formula units
Energy = -3.43 eV/atom
Symmetry = P4/mmm

Unit cell a=5.0852 b=5.0852 c=5.6937 alpha=90.00 beta=90.00 gamma=90.00
Last column: nearest neighbours and their distance in Å.
Fractional coordinates of all 5 atoms:
1 Ca 0.0000 0.0000 0.0000  2 Sc 2.85
2 Sc 0.0000 0.0000 0.5000  4 Au 2.54, 2 Ca 2.85
3 Sn 0.5000 0.5000 0.0000  4 Ca 3.60, 8 Au 3.82
4 Au 0.0000 0.5000 0.5000  2 Sc 2.54
5 Au 0.5000 0.0000 0.5000  2 Sc 2.54